No. 1
DFT (PBE) results for a geometry-optimized LiFe2Ni structure.

Computed properties:
* density of states at the Fermi level: 5.847 states/eV per cell
* crystal system: monoclinic
* energy of formation: 0.10 eV/atom

Cell: 4.8743 8.1855 2.4415 Å, 90.00 109.48 90.00°
Last column: nearest neighbours and their distance in Å.
Space group C2/m (No. 12)
Unique sites:
Li: 0.0000 0.0000 0.0000 (multiplicity 2)  2 Ni 2.44, 2 Li 2.44, 4 Fe 2.48
Fe: 0.2500 0.2500 0.5000 (multiplicity 4)  4 Fe 2.44, 2 Li 2.48, 2 Ni 2.48
Ni: 0.0000 0.5000 0.0000 (multiplicity 2)  2 Li 2.44, 2 Ni 2.44, 4 Fe 2.48

***

No. 2
DFT (PBE) results for a geometry-optimized LiFeNi4 structure.

Computed properties:
* density of states at the Fermi level: 14.522 states/eV per cell
* crystal system: monoclinic
* energy of formation: 0.04 eV/atom
* ΔE to the lowest computed polymorph: 0.19 eV per formula unit

Cell: 8.3336 3.9797 4.8984 Å, 90.00 125.27 90.00°
Last column: nearest neighbours and their distance in Å.
Space group C2/m (No. 12)
Unique sites:
Li: 0.0000 0.0000 0.0000 (multiplicity 2)  6 Ni 2.37-2.39, 2 Fe 2.45
Fe: 0.0000 0.0000 0.5000 (multiplicity 2)  6 Ni 2.40, 2 Li 2.45
Ni: 0.1651 0.5000 0.0180 (multiplicity 4)  2 Li 2.39, 1 Fe 2.40, 6 Ni 2.44-2.65
Ni: 0.1688 0.5000 0.5233 (multiplicity 4)  1 Li 2.37, 2 Fe 2.40, 5 Ni 2.44-2.50

***

No. 3
DFT (PBE) results for a geometry-optimized LiFe2Ni structure.

Computed properties:
* density of states at the Fermi level: 3.202 states/eV per cell
* crystal system: orthorhombic
* energy of formation: 0.12 eV/atom

Cell: 2.4845 3.6463 5.1097 Å, 90.00 90.00 90.00°
Last column: nearest neighbours and their distance in Å.
Space group Pmm2 (No. 25)
Unique sites:
Li: 0.0000 0.0000 0.0000 (multiplicity 1)  2 Li 2.48, 6 Fe 2.49-2.62, 4 Ni 2.53
Fe: 0.0000 0.0000 0.4874 (multiplicity 1)  6 Fe 2.48-2.57, 2 Li 2.49-2.62, 4 Ni 2.53
Fe: 0.5000 0.5000 0.7440 (multiplicity 1)  6 Fe 2.48-2.57, 2 Ni 2.55-2.56, 4 Li 2.56
Ni: 0.5000 0.5000 0.2439 (multiplicity 1)  2 Ni 2.48, 6 Fe 2.53-2.56, 4 Li 2.53

***

No. 4
DFT (PBE) results for a geometry-optimized LiFeNi3 structure.

Computed properties:
* density of states at the Fermi level: 8.448 states/eV per cell
* crystal system: monoclinic
* energy of formation: 0.10 eV/atom
* ΔE to the lowest computed polymorph: 0.53 eV per formula unit

Cell: 3.9646 7.5150 4.5046 Å, 90.00 115.97 90.00°
Last column: nearest neighbours and their distance in Å.
Space group P2_1/m (No. 11)
Unique sites:
Li: 0.0578 0.2500 0.1173 (multiplicity 2)  3 Ni 2.27-2.49
Fe: 0.5000 0.0000 0.0000 (multiplicity 2)  4 Ni 2.29-2.49
Ni: 0.2005 0.5727 0.4008 (multiplicity 4)  6 Ni 2.40-2.67, 2 Li 2.49-2.68, 3 Fe 2.49-2.62
Ni: 0.3384 0.2500 0.6780 (multiplicity 2)  1 Li 2.27, 2 Fe 2.29, 4 Ni 2.41

***

No. 5
DFT (PBE) results for a geometry-optimized LiFe2Ni structure.

Computed properties:
* density of states at the Fermi level: 3.627 states/eV per cell
* crystal system: tetragonal
* energy of formation: 0.10 eV/atom

Cell: 2.4917 2.4917 7.7492 Å, 90.00 90.00 90.00°
Last column: nearest neighbours and their distance in Å.
Space group P4mm (No. 99)
Unique sites:
Li: 0.0000 0.0000 0.0000 (multiplicity 1)  4 Li 2.49, 4 Ni 2.61
Fe: 0.0000 0.0000 0.4741 (multiplicity 1)  4 Ni 2.48, 8 Fe 2.49-2.59
Fe: 0.5000 0.5000 0.7199 (multiplicity 1)  8 Fe 2.49-2.59
Ni: 0.5000 0.5000 0.2487 (multiplicity 1)  4 Fe 2.48, 4 Ni 2.49, 4 Li 2.61

***

No. 6
DFT (PBE) results for a geometry-optimized LiFe2Ni structure.

Computed properties:
* density of states at the Fermi level: 7.337 states/eV per cell
* crystal system: orthorhombic
* energy of formation: 0.08 eV/atom

Cell: 2.7869 4.0692 8.3600 Å, 90.00 90.00 90.00°
Last column: nearest neighbours and their distance in Å.
Space group Cmm2 (No. 35)
Unique sites:
Li: 0.0000 0.0000 0.0000 (multiplicity 2)  4 Li 2.47, 2 Ni 2.52, 2 Fe 2.64
Fe: 0.0000 0.0000 0.5103 (multiplicity 2)  2 Ni 2.43, 6 Fe 2.45-2.47
Fe: 0.0000 0.5000 0.2688 (multiplicity 2)  6 Fe 2.45-2.47, 2 Li 2.64
Ni: 0.0000 0.5000 0.7489 (multiplicity 2)  2 Fe 2.43, 4 Ni 2.47, 2 Li 2.52

***

No. 7
DFT (PBE) results for a geometry-optimized LiFe3Ni3 structure.

Computed properties:
* density of states at the Fermi level: 25.798 states/eV per cell
* crystal system: orthorhombic
* energy of formation: 0.16 eV/atom

Cell: 8.1168 8.2081 5.1099 Å, 90.00 90.00 90.00°
Last column: nearest neighbours and their distance in Å.
Space group Cmmm (No. 65)
Unique sites:
Li: 0.1931 0.0000 0.0000 (multiplicity 4)  4 Ni 2.46, 4 Fe 2.59-2.64
Fe: 0.0000 0.1752 0.5000 (multiplicity 4)  4 Fe 2.44-2.64, 4 Ni 2.47
Fe: 0.0000 0.2582 0.0000 (multiplicity 4)  6 Ni 2.37-2.40, 2 Li 2.64, 2 Fe 2.64
Fe: 0.2432 0.0000 0.5000 (multiplicity 4)  6 Ni 2.42-2.44, 2 Fe 2.44, 2 Li 2.59
Ni: 0.0000 0.5000 0.2537 (multiplicity 4)  4 Fe 2.37-2.44, 2 Ni 2.52-2.59
Ni: 0.2500 0.2500 0.2509 (multiplicity 8)  6 Fe 2.40-2.47, 2 Li 2.46, 2 Ni 2.55-2.56

***

No. 8
DFT (PBE) results for a geometry-optimized LiFe2Ni structure.

Computed properties:
* density of states at the Fermi level: 3.073 states/eV per cell
* crystal system: monoclinic
* energy of formation: 0.11 eV/atom

Cell: 2.4362 4.0860 4.6724 Å, 90.00 100.14 90.00°
Last column: nearest neighbours and their distance in Å.
Space group P2/m (No. 10)
Unique sites:
Li: 0.0000 0.0000 0.0000 (multiplicity 1)  2 Li 2.44, 2 Ni 2.44, 4 Fe 2.47
Fe: 0.2257 0.5000 0.7482 (multiplicity 2)  4 Fe 2.39-2.49, 2 Li 2.47, 2 Ni 2.50
Ni: 0.5000 0.0000 0.5000 (multiplicity 1)  2 Ni 2.44, 2 Li 2.44, 4 Fe 2.50

***

No. 9
DFT (PBE) results for a geometry-optimized LiFe2Ni2 structure.

Computed properties:
* density of states at the Fermi level: 9.333 states/eV per cell
* crystal system: tetragonal
* energy of formation: 0.38 eV/atom
* ΔE to the lowest computed polymorph: 1.64 eV per formula unit

Cell: 3.4923 3.4923 11.1348 Å, 90.00 90.00 90.00°
Last column: nearest neighbours and their distance in Å.
Space group I4/mmm (No. 139)
Unique sites:
Li: 0.0000 0.0000 0.0000 (multiplicity 2)  8 Fe 2.73
Fe: 0.0000 0.0000 0.3944 (multiplicity 4)  1 Fe 2.35, 4 Ni 2.37
Ni: 0.0000 0.5000 0.2500 (multiplicity 4)  4 Fe 2.37, 4 Ni 2.47

***

No. 10
DFT (PBE) results for a geometry-optimized Li2FeNi9 structure.

Computed properties:
* density of states at the Fermi level: 13.229 states/eV per cell
* crystal system: triclinic
* energy of formation: -0.01 eV/atom

Cell: 4.3037 5.6284 6.1089 Å, 68.25 89.77 74.95°
Last column: nearest neighbours and their distance in Å.
Space group P-1 (No. 2)
Unique sites:
Li: 0.1700 0.4901 0.1707 (multiplicity 2)  10 Ni 2.46-2.55, 1 Li 2.50, 1 Fe 2.56
Fe: 0.0000 0.0000 0.0000 (multiplicity 1)  10 Ni 2.48-2.51, 2 Li 2.56
Ni: 0.0830 0.2492 0.5840 (multiplicity 2)  2 Li 2.46-2.52, 9 Ni 2.47-2.54, 1 Fe 2.48
Ni: 0.2519 0.7566 0.7463 (multiplicity 2)  8 Ni 2.46-2.54, 3 Li 2.46-2.55, 1 Fe 2.50
Ni: 0.3354 0.9927 0.3323 (multiplicity 2)  10 Ni 2.45-2.54, 1 Fe 2.48, 1 Li 2.50
Ni: 0.4200 0.2502 0.9135 (multiplicity 2)  7 Ni 2.45-2.54, 2 Fe 2.48-2.51, 3 Li 2.50-2.52
Ni: 0.5000 0.5000 0.5000 (multiplicity 1)  10 Ni 2.47-2.51, 2 Li 2.49

***

No. 11
DFT (PBE) results for a geometry-optimized LiFe2Ni6 structure.

Computed properties:
* density of states at the Fermi level: 18.435 states/eV per cell
* crystal system: orthorhombic
* energy of formation: 0.03 eV/atom
* ΔE to the lowest computed polymorph: 0.00 eV per formula unit

Cell: 2.4502 7.4484 11.1089 Å, 90.00 90.00 90.00°
Last column: nearest neighbours and their distance in Å.
Space group Immm (No. 71)
Unique sites:
Li: 0.0000 0.0000 0.0000 (multiplicity 2)  4 Ni 2.31, 2 Li 2.45
Fe: 0.0000 0.5000 0.1601 (multiplicity 4)  2 Fe 2.45, 10 Ni 2.48-2.53
Ni: 0.0000 0.1683 0.1750 (multiplicity 8)  1 Li 2.31, 7 Ni 2.40-2.57, 3 Fe 2.48-2.53
Ni: 0.0000 0.1770 0.5000 (multiplicity 4)  7 Ni 2.45-2.64, 4 Fe 2.53, 2 Li 2.70

***

No. 12
DFT (PBE) results for a geometry-optimized LiFe3Ni structure.

Computed properties:
* density of states at the Fermi level: 3.388 states/eV per cell
* crystal system: cubic
* energy of formation: 0.86 eV/atom
* ΔE to the lowest computed polymorph: 0.00 eV per formula unit

Cell: 4.3955 4.3955 4.3955 Å, 90.00 90.00 90.00°
Last column: nearest neighbours and their distance in Å.
Space group Pm-3m (No. 221)
Unique sites:
Li: 0.0000 0.0000 0.0000 (multiplicity 1)  12 Fe 3.11
Fe: 0.0000 0.5000 0.5000 (multiplicity 3)  2 Ni 2.20
Ni: 0.5000 0.5000 0.5000 (multiplicity 1)  6 Fe 2.20